# 1
A plane-wave DFT calculation with PBE-GGA was carried out for a relaxed structure of TlCoHg2Bi.

Lattice parameters (Å, degrees): 5.1810 5.1810 4.9320 90.00 90.00 90.00
Element x y z (fractional)
Tl: 0.0000 0.0000 0.0000
Co: 0.5000 0.5000 0.5000
Hg: 0.0000 0.5000 0.5000
Hg: 0.5000 0.0000 0.5000
Bi: 0.5000 0.5000 0.0000

Output
Energy of formation from the pure elements in eV/f.u.: 0.9
V in Å³/atom: 26.5

# 2
A plane-wave DFT calculation with PBE-GGA was carried out for a relaxed structure of PmSeS.

Lattice parameters (Å, degrees): 4.0336 4.0336 16.8210 90.00 90.00 90.00
Element x y z (fractional)
Pm: 0.0000 0.0000 0.1454
Pm: 0.0000 0.0000 0.8546
Pm: 0.5000 0.5000 0.3545
Pm: 0.5000 0.5000 0.6454
Se: 0.0000 0.5000 0.0000
Se: 0.0000 0.5000 0.5000
Se: 0.5000 0.0000 0.0000
Se: 0.5000 0.0000 0.5000
S: 0.0000 0.0000 0.3156
S: 0.0000 0.0000 0.6844
S: 0.5000 0.5000 0.1844
S: 0.5000 0.5000 0.8156

Output
ΔE_f (raw) in eV per atom: -1.6658
V in Å³/atom: 22.8
Energy above the lowest structure with this stoichiometry in eV/atom: 0.022

# 3
A plane-wave DFT calculation with PBE-GGA was carried out for a relaxed structure of HfPd3Br.

Lattice parameters (Å, degrees): 4.9728 4.9728 4.9728 90.00 90.00 90.00
Element x y z (fractional)
Hf: 0.0000 0.0000 0.0000
Pd: 0.0000 0.0000 0.5000
Pd: 0.0000 0.5000 0.0000
Pd: 0.5000 0.0000 0.0000
Br: 0.5000 0.5000 0.5000

Output
ΔE_f (raw) in eV per atom: 0.5342
V in Å³/atom: 24.6
Energy above the lowest structure with this stoichiometry in eV/atom: 0.000

Number 1: total DFT energy (no corrections) -2.61 eV/atom. Number 2: total DFT energy (no corrections) -5.79 eV/atom. Number 3: total DFT energy (no corrections) -4.91 eV/atom.